(1)
GGA-PBE Mg2GaSnPd4, optimized geometry; ΔH_f (0 K) = -0.691 eV/atom; crystal system = trigonal; symmetry = R-3m
1.0
-1.136 -4.358 0.102
0.985 -2.667 -3.494
6.468 -3.969 1.948
Mg Ga Sn Pd
2 1 1 4
direct
0.751 0.751 0.748
0.249 0.249 0.252
0.500 0.500 0.500
0.000 0.000 0.000
0.381 0.381 0.858
0.872 0.872 0.385
0.128 0.128 0.615
0.619 0.619 0.142

---

(2)
GGA-PBE Gd2IrS, optimized geometry; crystal system = tetragonal; energy relative to the elements, uncorrected = -1.202 eV per atom; relative energy among the computed polymorphs = 107 meV per atom; symmetry = P4/mmm
1.0
3.449 0.000 0.000
0.000 3.449 0.000
0.000 0.000 7.108
Gd S Ir
2 1 1
direct
0.000 0.000 0.758
0.000 0.000 0.242
0.500 0.500 0.500
0.500 0.500 0.000

---

(3)
GGA-PBE CeZrS4, optimized geometry; crystal system = monoclinic; energy relative to the elements, uncorrected = -1.585 eV per atom; relative energy among the computed polymorphs = 0 meV per atom; symmetry = C2/m
1.0
3.902 0.000 0.000
0.000 6.696 -1.186
0.000 0.075 12.999
Ce Zr S
2 2 8
direct
0.000 0.500 0.500
0.500 0.500 0.000
0.500 0.000 0.500
0.000 0.000 0.000
0.500 0.650 0.390
0.000 0.350 0.110
0.500 0.350 0.610
0.000 0.650 0.890
0.000 0.119 0.392
0.500 0.881 0.108
0.000 0.881 0.608
0.500 0.119 0.892